The following is a GGA-PBE calculation of a relaxed structure of Y2Fe3W2, from OQMD via LeMat-Bulk.

Cell lengths 4.4213, 4.4213, 21.0620 Å; angles 90.00, 90.00, 120.00 degrees
Space group R3m (No. 160, hexagonal axes)
Asymmetric unit:
Y 0.0000 0.0000 0.0000 (multiplicity 3)
Y 0.0000 0.0000 0.4862 (multiplicity 3)
Fe 0.0000 0.0000 0.3610 (multiplicity 3)
Fe 0.0000 0.0000 0.6158 (multiplicity 3)
Fe 0.0000 0.0000 0.8688 (multiplicity 3)
W 0.0000 0.0000 0.2425 (multiplicity 3)
W 0.0000 0.0000 0.7413 (multiplicity 3)

Results
calculated volume = 16.98 Å³/atom
calculated formation energy = 0.46 eV/atom